# 1
Here is a relaxed Al2CdAg7 crystal from Alexandria. Energies are from PBE.

Values from the calculation:
Electronic total energy ... -0.0967 Ha/atom
Formation enthalpy at 0 K ... 4.69 kcal/mol of atoms

Lattice parameters (Å, degrees): 4.6109 7.4970 7.4970 119.37 90.00 90.00
Positions (direct):
Ag1 0.5000 0.3010 0.0690
Ag2 0.5000 0.9310 0.6990
Cd1 0.0000 0.0000 0.0000
Ag3 0.0000 0.2154 0.7846
Ag4 0.0000 0.7846 0.2154
Ag5 0.5000 0.6990 0.9310
Ag6 0.5000 0.5000 0.5000
Al1 0.5000 0.6983 0.3017
Ag7 0.5000 0.0690 0.3010
Al2 0.5000 0.3017 0.6983

# 2
Here is a relaxed Al2CdAg crystal from Alexandria. Energies are from PBE.

Values from the calculation:
Electronic total energy ... -0.1026 Ha/atom
Formation enthalpy at 0 K ... 0.51 kcal/mol of atoms

Lattice parameters (Å, degrees): 9.0911 9.0911 9.0911 19.58 19.58 19.58
Positions (direct):
Cd1 0.2500 0.2500 0.2500
Al1 0.4955 0.4955 0.4955
Al2 0.0045 0.0045 0.0045
Ag1 0.7500 0.7500 0.7500

# 3
Here is a relaxed AlCd2Ag4 crystal from Alexandria. Energies are from PBE.

Values from the calculation:
Electronic total energy ... -0.0782 Ha/atom
Formation enthalpy at 0 K ... 6.83 kcal/mol of atoms
E above lowest polymorph ... 0.317 eV/atom

Lattice parameters (Å, degrees): 4.9759 4.9759 7.7567 108.71 108.71 90.00
Positions (direct):
Ag1 0.3966 0.3966 0.7932
Cd1 0.1997 0.1997 0.3994
Al1 0.0000 0.0000 0.0000
Ag2 0.0000 0.5000 0.0000
Ag3 0.5000 0.0000 0.0000
Ag4 0.6034 0.6034 0.2068
Cd2 0.8003 0.8003 0.6006

# 4
Here is a relaxed AlCdAg2 crystal from Alexandria. Energies are from PBE.

Values from the calculation:
Electronic total energy ... -0.0930 Ha/atom
Formation enthalpy at 0 K ... 1.35 kcal/mol of atoms

Lattice parameters (Å, degrees): 4.6953 4.6953 4.6953 60.00 60.00 60.00
Positions (direct):
Ag1 0.0000 0.0000 0.0000
Al1 0.5000 0.5000 0.5000
Ag2 0.7500 0.7500 0.7500
Cd1 0.2500 0.2500 0.2500

# 5
Here is a relaxed AlCd8Ag6 crystal from Alexandria. Energies are from PBE.

Values from the calculation:
Electronic total energy ... -0.0695 Ha/atom
Formation enthalpy at 0 K ... -0.33 kcal/mol of atoms

Lattice parameters (Å, degrees): 7.4248 7.4248 7.4248 65.19 65.19 65.19
Positions (direct):
Cd1 0.7802 0.4651 0.1209
Ag1 0.6346 0.2718 0.9530
Cd2 0.3334 0.3334 0.3334
Al1 0.0000 0.0000 0.0000
Cd3 0.1209 0.7802 0.4651
Cd4 0.6666 0.6666 0.6666
Ag2 0.7282 0.0470 0.3654
Ag3 0.9530 0.6346 0.2718
Ag4 0.0470 0.3654 0.7282
Cd5 0.5349 0.8791 0.2198
Cd6 0.2198 0.5349 0.8791
Cd7 0.8791 0.2198 0.5349
Cd8 0.4651 0.1209 0.7802
Ag5 0.3654 0.7282 0.0470
Ag6 0.2718 0.9530 0.6346

# 6
Here is a relaxed AlCd2Ag crystal from Alexandria. Energies are from PBE.

Values from the calculation:
Electronic total energy ... -0.0722 Ha/atom
Formation enthalpy at 0 K ... 3.28 kcal/mol of atoms

Lattice parameters (Å, degrees): 4.8382 4.8382 4.8382 60.00 60.00 60.00
Positions (direct):
Ag1 0.5000 0.5000 0.5000
Al1 0.7500 0.7500 0.7500
Cd1 0.2500 0.2500 0.2500
Cd2 0.0000 0.0000 0.0000

Among the records above, which one has the lowest formation enthalpy at 0 K?
AlCd8Ag6